(1)
The following is a DFT calculation (PBE) of a relaxed MgBe2Cr crystal.

Calculated values
E_form: 3.35 eV per formula unit
N(E_F): 0.6270 states/eV per atom
crystal system: tetragonal
total moment: 3.4 μB per formula unit
E_tot: -3.8307 eV/atom

abc: 4.0050 4.0050 16.8174
angles: 90.00 90.00 90.00
Last column: nearest neighbours and their distance in Å.
Atoms (fractional coordinates):
Mg 0.0000 0.0000 0.0000  4 Cr 2.83, 4 Be 2.93
Mg 0.0000 0.5000 0.2500  4 Cr 2.83, 4 Be 2.93
Mg 0.5000 0.0000 0.7500  4 Cr 2.83, 4 Be 2.93
Mg 0.5000 0.5000 0.5000  4 Cr 2.83, 4 Be 2.93
Be 0.0545 0.2500 0.6250  2 Be 2.05
Be 0.2500 0.5545 0.8750  2 Be 2.05
Be 0.2500 0.9455 0.3750  2 Be 2.05
Be 0.4455 0.2500 0.1250  2 Be 2.05
Be 0.5545 0.7500 0.1250  2 Be 2.05
Be 0.7500 0.0545 0.3750  2 Be 2.05
Be 0.7500 0.4455 0.8750  2 Be 2.05
Be 0.9455 0.7500 0.6250  2 Be 2.05
Cr 0.0000 0.0000 0.5000  4 Be 2.34
Cr 0.0000 0.5000 0.7500  4 Be 2.34
Cr 0.5000 0.0000 0.2500  4 Be 2.34
Cr 0.5000 0.5000 0.0000  4 Be 2.34

=====

(2)
The following is a DFT calculation (PBE) of a relaxed MgBeCr2 crystal.

Calculated values
E_form: 1.39 eV per formula unit
N(E_F): 0.6353 states/eV per atom
crystal system: monoclinic
energy above the most stable polymorph in this dataset: 0.51 eV per formula unit
total moment: 0.0 μB per formula unit
E_tot: -5.7951 eV/atom

abc: 2.5341 3.8945 5.2534
angles: 90.00 101.03 90.00
Last column: nearest neighbours and their distance in Å.
Atoms (fractional coordinates):
Mg 0.0000 0.0000 0.0000  2 Mg 2.53, 2 Be 2.59, 4 Cr 2.67-2.72
Be 0.7508 0.5000 0.2787  3 Cr 2.36-2.44, 2 Be 2.53, 2 Mg 2.59
Cr 0.2965 0.5000 0.6955  4 Cr 2.28-2.53, 1 Be 2.36
Cr 0.4689 0.0000 0.4995  4 Cr 2.28-2.53, 2 Be 2.44

=====

(3)
The following is a DFT calculation (PBE) of a relaxed MgBe2Cr crystal.

Calculated values
E_form: 1.75 eV per formula unit
N(E_F): 0.4064 states/eV per atom
crystal system: tetragonal
total moment: 3.3 μB per formula unit
E_tot: -4.2313 eV/atom

abc: 4.1559 4.1559 5.8525
angles: 90.00 90.00 90.00
Last column: nearest neighbours and their distance in Å.
Atoms (fractional coordinates):
Mg 0.0000 0.0000 0.0000  4 Cr 2.54, 4 Be 2.54
Mg 0.5000 0.5000 0.5000  4 Cr 2.54, 4 Be 2.54
Be 0.0000 0.0000 0.5000  4 Cr 2.54, 4 Be 2.54
Be 0.0000 0.5000 0.7500  4 Be 2.54, 4 Mg 2.54
Be 0.5000 0.0000 0.2500  4 Be 2.54, 4 Mg 2.54
Be 0.5000 0.5000 0.0000  4 Cr 2.54, 4 Be 2.54
Cr 0.0000 0.5000 0.2500  4 Be 2.54, 4 Mg 2.54
Cr 0.5000 0.0000 0.7500  4 Be 2.54, 4 Mg 2.54

=====

(4)
The following is a DFT calculation (PBE) of a relaxed MgBeCr3 crystal.

Calculated values
E_form: 4.54 eV per formula unit
N(E_F): 0.8340 states/eV per atom
crystal system: cubic
energy above the most stable polymorph in this dataset: 0.00 eV per formula unit
total moment: 2.0 μB per formula unit
E_tot: -5.9309 eV/atom

abc: 4.0612 4.0612 4.0612
angles: 90.00 90.00 90.00
Last column: nearest neighbours and their distance in Å.
Atoms (fractional coordinates):
Mg 0.0000 0.0000 0.0000  12 Cr 2.87
Be 0.5000 0.5000 0.5000  6 Cr 2.03
Cr 0.0000 0.5000 0.5000  2 Be 2.03
Cr 0.5000 0.0000 0.5000  2 Be 2.03
Cr 0.5000 0.5000 0.0000  2 Be 2.03

=====

(5)
The following is a DFT calculation (PBE) of a relaxed MgBeCr2 crystal.

Calculated values
E_form: 1.83 eV per formula unit
N(E_F): 0.5808 states/eV per atom
crystal system: monoclinic
energy above the most stable polymorph in this dataset: 0.95 eV per formula unit
total moment: 0.0 μB per formula unit
E_tot: -5.6847 eV/atom

abc: 4.8737 8.4058 2.4589
angles: 90.00 101.62 90.00
Last column: nearest neighbours and their distance in Å.
Atoms (fractional coordinates):
Mg 0.0000 0.0000 0.0000  2 Be 2.44, 2 Mg 2.46, 4 Cr 2.61
Mg 0.5000 0.5000 0.0000  2 Be 2.44, 2 Mg 2.46, 4 Cr 2.61
Be 0.0000 0.5000 0.0000  2 Mg 2.44, 2 Be 2.46, 4 Cr 2.61
Be 0.5000 0.0000 0.0000  2 Mg 2.44, 2 Be 2.46, 4 Cr 2.61
Cr 0.2500 0.2500 0.5000  4 Cr 2.44-2.46, 2 Be 2.61, 2 Mg 2.61
Cr 0.2500 0.7500 0.5000  4 Cr 2.44-2.46, 2 Mg 2.61, 2 Be 2.61
Cr 0.7500 0.2500 0.5000  4 Cr 2.44-2.46, 2 Be 2.61, 2 Mg 2.61
Cr 0.7500 0.7500 0.5000  4 Cr 2.44-2.46, 2 Be 2.61, 2 Mg 2.61

=====

(6)
The following is a DFT calculation (PBE) of a relaxed MgBeCr2 crystal.

Calculated values
E_form: 1.60 eV per formula unit
N(E_F): 0.5593 states/eV per atom
crystal system: orthorhombic
energy above the most stable polymorph in this dataset: 0.72 eV per formula unit
total moment: 0.0 μB per formula unit
E_tot: -5.7414 eV/atom

abc: 3.0736 4.3068 7.8736
angles: 90.00 90.00 90.00
Last column: nearest neighbours and their distance in Å.
Atoms (fractional coordinates):
Mg 0.0000 0.0000 0.0000  2 Be 2.54, 8 Cr 2.65-2.78
Mg 0.5000 0.5000 0.5000  2 Be 2.54, 8 Cr 2.65-2.78
Be 0.0000 0.5000 0.7570  6 Cr 2.50-2.66, 2 Mg 2.54
Be 0.5000 0.0000 0.2570  6 Cr 2.50-2.66, 2 Mg 2.54
Cr 0.0000 0.0000 0.5073  2 Cr 2.29, 2 Be 2.50
Cr 0.0000 0.5000 0.2224  2 Cr 2.29
Cr 0.5000 0.0000 0.7224  2 Cr 2.29
Cr 0.5000 0.5000 0.0073  2 Cr 2.29, 2 Be 2.50

=====

(7)
The following is a DFT calculation (PBE) of a relaxed MgBe2Cr crystal.

Calculated values
E_form: 1.65 eV per formula unit
N(E_F): 0.5770 states/eV per atom
crystal system: monoclinic
total moment: 0.0 μB per formula unit
E_tot: -4.2553 eV/atom

abc: 8.0188 2.4893 5.0583
angles: 90.00 96.02 90.00
Last column: nearest neighbours and their distance in Å.
Atoms (fractional coordinates):
Mg 0.0000 0.0000 0.0000  2 Mg 2.49, 6 Be 2.70-2.77
Mg 0.5000 0.5000 0.0000  2 Mg 2.49, 6 Be 2.70-2.77
Be 0.2469 0.0000 0.6755  2 Be 2.17, 3 Cr 2.30-2.43
Be 0.2531 0.5000 0.3245  2 Be 2.17, 3 Cr 2.30-2.43
Be 0.7469 0.5000 0.6755  2 Be 2.17, 3 Cr 2.30-2.43
Be 0.7531 0.0000 0.3245  2 Be 2.17, 3 Cr 2.30-2.43
Cr 0.0000 0.5000 0.5000  6 Be 2.30-2.43, 2 Cr 2.49
Cr 0.5000 0.0000 0.5000  6 Be 2.30-2.43, 2 Cr 2.49

=====

(8)
The following is a DFT calculation (PBE) of a relaxed MgBe2Cr crystal.

Calculated values
E_form: 1.36 eV per formula unit
N(E_F): 0.4686 states/eV per atom
crystal system: monoclinic
total moment: 0.0 μB per formula unit
E_tot: -4.3286 eV/atom

abc: 8.9344 2.5214 4.3256
angles: 90.00 108.87 90.00
Last column: nearest neighbours and their distance in Å.
Atoms (fractional coordinates):
Mg 0.0000 0.0000 0.0000  7 Be 2.48-2.58, 2 Mg 2.52
Mg 0.5000 0.5000 0.0000  7 Be 2.48-2.58, 2 Mg 2.52
Be 0.2580 0.5000 0.1790  2 Be 2.23, 2 Cr 2.50
Be 0.4577 0.0000 0.4843  2 Be 2.23, 2 Mg 2.48, 3 Cr 2.49-2.50
Be 0.7580 0.0000 0.1790  2 Be 2.23, 2 Cr 2.50
Be 0.9577 0.5000 0.4843  2 Be 2.23, 2 Mg 2.48, 3 Cr 2.49-2.50
Cr 0.2113 0.0000 0.6381  7 Be 2.49-2.57, 2 Cr 2.52
Cr 0.7113 0.5000 0.6381  7 Be 2.49-2.57, 2 Cr 2.52

=====

(9)
The following is a DFT calculation (PBE) of a relaxed MgBe2Cr crystal.

Calculated values
E_form: 1.25 eV per formula unit
N(E_F): 0.5580 states/eV per atom
crystal system: tetragonal
total moment: 0.0 μB per formula unit
E_tot: -4.3545 eV/atom

abc: 2.6323 2.6323 6.6691
angles: 90.00 90.00 90.00
Last column: nearest neighbours and their distance in Å.
Atoms (fractional coordinates):
Mg 0.0000 0.0000 0.0000  4 Mg 2.63, 4 Be 2.68, 4 Cr 2.83
Be 0.0000 0.0000 0.4494  4 Be 2.14
Be 0.5000 0.5000 0.2896  4 Be 2.14
Cr 0.5000 0.5000 0.6798  5 Be 2.41-2.60, 4 Cr 2.63

=====

(10)
The following is a DFT calculation (PBE) of a relaxed MgBe2Cr crystal.

Calculated values
E_form: 0.86 eV per formula unit
N(E_F): 0.3486 states/eV per atom
crystal system: tetragonal
total moment: 2.4 μB per formula unit
E_tot: -4.4515 eV/atom

abc: 2.9449 2.9449 5.7335
angles: 90.00 90.00 90.00
Last column: nearest neighbours and their distance in Å.
Atoms (fractional coordinates):
Mg 0.0000 0.0000 0.0000  8 Be 2.72, 2 Cr 2.87, 4 Mg 2.94
Be 0.5000 0.5000 0.3044  1 Be 2.24, 4 Cr 2.37
Be 0.5000 0.5000 0.6956  1 Be 2.24, 4 Cr 2.37
Cr 0.0000 0.0000 0.5000  8 Be 2.37